Computed, not measured: a relaxed structure of Hf2AlGa2 at the GGA-PBE level of DFT.

**ρ**: 9.8 g/cm3
**Calculated total energy**: -64.38 eV per cell

a = 7.4665 Å, b = 5.4378 Å, c = 8.4011 Å
α = 60.92°, β = 39.53°, γ = 79.54°
Sites, in units of the cell vectors:
Ga (0.4368, 0.0599, 0.7995)
Hf (0.0306, 0.4923, 0.3649)
Hf (0.4923, 0.0306, 0.1122)
Ga (0.5462, 0.4505, 0.1901)
Ga (0.0599, 0.4368, 0.7038)
Hf (0.8851, 0.1378, 0.2194)
Hf (0.1378, 0.8851, 0.7577)
Al (0.6104, 0.6104, 0.3896)
Ga (0.4505, 0.5462, 0.8132)
Al (0.8604, 0.8604, 0.6396)



Computed, not measured: a relaxed structure of LaHo2Sn3PdPt2 at the GGA-PBE level of DFT.

**ρ**: 10.8 g/cm3
**Calculated total energy**: -52.71 eV per cell

a = 4.0748 Å, b = 7.5994 Å, c = 7.5994 Å
α = 120.48°, β = 90.00°, γ = 90.00°
Sites, in units of the cell vectors:
Ho (0.0000, 0.4082, 0.9988)
Sn (0.5000, 0.0047, 0.7460)
La (0.0000, 0.5868, 0.5868)
Pt (0.5000, 0.6697, 0.3282)
Ho (0.0000, 0.9988, 0.4082)
Sn (0.5000, 0.7460, 0.0047)
Sn (0.5000, 0.2520, 0.2520)
Pt (0.5000, 0.3282, 0.6697)
Pd (0.0000, 0.0056, 0.0056)